[1]
## YZrMo2 (GGA-PBE)

Data for a relaxed YZrMo2 crystal.

The calculation puts the density of states at the Fermi level at 21.64 states/eV per cell. The value obtained for the total energy is -133.23 eV for the cell shown. The energy relative to the lowest polymorph listed for this composition is 735 meV/atom. For the energy relative to the elements, the calculation gives 0.84 eV/atom.

The structure belongs to space group I-42d (No. 122); the cell edges are 7.567, 7.567 and 5.884 Å and the angles 90.00°, 90.00° and 90.00°. Symmetry generates all atoms from Y at (0.000, 0.000, 0.000), Zr at (0.000, 0.000, 0.500) and Mo at (0.235, 0.250, 0.625).


[2]
## YZrMo2 (GGA-PBE)

Data for a relaxed YZrMo2 crystal.

The calculation puts the density of states at the Fermi level at 5.40 states/eV per cell. The value obtained for the total energy is -35.32 eV for the cell shown. The energy relative to the lowest polymorph listed for this composition is 232 meV/atom. For the energy relative to the elements, the calculation gives 0.34 eV/atom.

The structure belongs to space group P2/m (No. 10); the cell edges are 3.083, 4.601 and 6.039 Å and the angles 90.00°, 99.30° and 90.00°. Symmetry generates all atoms from Y at (0.000, 0.000, 0.000), Zr at (0.500, 0.000, 0.500) and Mo at (0.205, 0.500, 0.694).


[3]
## YZrMo2 (GGA-PBE)

Data for a relaxed YZrMo2 crystal.

The calculation puts the density of states at the Fermi level at 35.09 states/eV per cell. The value obtained for the total energy is -140.54 eV for the cell shown. The energy relative to the lowest polymorph listed for this composition is 278 meV/atom. For the energy relative to the elements, the calculation gives 0.38 eV/atom.

The structure belongs to space group Fm-3m (No. 225); the cell edges are 6.838, 6.838 and 6.838 Å and the angles 90.00°, 90.00° and 90.00°. Symmetry generates all atoms from Y at (0.000, 0.000, 0.000), Zr at (0.000, 0.000, 0.500) and Mo at (0.250, 0.250, 0.250).


[4]
## YZrMo2 (GGA-PBE)

Data for a relaxed YZrMo2 crystal.

The calculation puts the density of states at the Fermi level at 8.22 states/eV per cell. The value obtained for the total energy is -71.25 eV for the cell shown. The energy relative to the lowest polymorph listed for this composition is 156 meV/atom. For the energy relative to the elements, the calculation gives 0.26 eV/atom.

The structure belongs to space group Cmm2 (No. 35); the cell edges are 3.347, 5.015 and 9.791 Å and the angles 90.00°, 90.00° and 90.00°. Symmetry generates all atoms from Y at (0.000, 0.000, 0.000), Zr at (0.000, 0.500, 0.684), Mo at (0.000, 0.000, 0.452) and Mo at (0.000, 0.500, 0.254).


[5]
## YZr4Mo (GGA-PBE)

Data for a relaxed YZr4Mo crystal.

The calculation puts the density of states at the Fermi level at 48.43 states/eV per cell. The value obtained for the total energy is -193.86 eV for the cell shown. For the energy relative to the elements, the calculation gives 0.50 eV/atom.

The structure belongs to space group F-43m (No. 216); the cell edges are 8.205, 8.205 and 8.205 Å and the angles 90.00°, 90.00° and 90.00°. Symmetry generates all atoms from Y at (0.000, 0.000, 0.000), Zr at (0.124, 0.124, 0.624) and Mo at (0.250, 0.250, 0.250).


[6]
## YZrMo2 (GGA-PBE)

Data for a relaxed YZrMo2 crystal.

The calculation puts the density of states at the Fermi level at 8.61 states/eV per cell. The value obtained for the total energy is -35.06 eV for the cell shown. The energy relative to the lowest polymorph listed for this composition is 297 meV/atom. For the energy relative to the elements, the calculation gives 0.40 eV/atom.

The structure belongs to space group P4/mmm (No. 123); the cell edges are 4.845, 4.845 and 3.403 Å and the angles 90.00°, 90.00° and 90.00°. Symmetry generates all atoms from Y at (0.000, 0.000, 0.000), Zr at (0.500, 0.500, 0.000) and Mo at (0.000, 0.500, 0.500).


Q: Which value of energy relative to the elements does entry 5 give?
A: 0.50 eV/atom